(1)
DFT (meta-GGA SCAN) results for BeP2SCl at its PBEsol-relaxed geometry.

abc: 4.057 4.402 4.402
angles: 90.00 90.00 90.00
Element x y z (fractional)
Cl  0.500  0.500  0.500
S  0.500  0.000  0.000
P  0.000  0.500  0.000
P  0.000  0.000  0.500
Be  0.000  0.000  0.000

Values from the calculation:
- DFT total energy: -7.837 eV/atom

=====

(2)
DFT (meta-GGA SCAN) results for BeSbP2Cl at its PBEsol-relaxed geometry.

abc: 4.184 4.515 4.515
angles: 90.00 90.00 90.00
Element x y z (fractional)
P  0.000  0.000  0.500
P  0.000  0.500  0.000
Sb  0.500  0.500  0.500
Cl  0.500  0.000  0.000
Be  0.000  0.000  0.000

Values from the calculation:
- DFT total energy: -13.698 eV/atom

=====

(3)
DFT (meta-GGA SCAN) results for BeP2SeCl at its PBEsol-relaxed geometry.

abc: 4.060 4.471 4.471
angles: 90.00 90.00 90.00
Element x y z (fractional)
P  0.000  0.500  0.000
P  0.000  0.000  0.500
Se  0.500  0.500  0.500
Be  0.000  0.000  0.000
Cl  0.500  0.000  0.000

Values from the calculation:
- DFT total energy: -10.113 eV/atom

=====

(4)
DFT (meta-GGA SCAN) results for SrBePCl2 at its PBEsol-relaxed geometry.

abc: 4.447 4.715 4.715
angles: 90.00 90.00 90.00
Each line ends with the local moment (μB).
Element x y z (fractional)
Sr  0.500  0.500  0.500  0.02
P  0.500  0.000  0.000  0.37
Cl  0.000  0.000  0.500  0.07
Be  0.000  0.000  0.000  -0.02
Cl  0.000  0.500  0.000  0.07

Values from the calculation:
- DFT total energy: -11.636 eV/atom

=====

(5)
DFT (meta-GGA SCAN) results for SrBeP2Cl at its PBEsol-relaxed geometry.

abc: 5.297 5.624 5.624
angles: 90.00 90.00 90.00
Each line ends with the local moment (μB).
Element x y z (fractional)
Cl  0.500  0.000  0.000  0.08
Sr  0.000  0.000  0.000  0.03
Be  0.500  0.500  0.500  -0.09
P  0.000  0.500  0.000  0.47
P  0.000  0.000  0.500  0.47

Values from the calculation:
- DFT total energy: -10.124 eV/atom

=====

(6)
DFT (meta-GGA SCAN) results for BePWCl2 at its PBEsol-relaxed geometry.

abc: 3.889 3.889 6.720
angles: 90.00 90.00 90.00
Each line ends with the local moment (μB).
Element x y z (fractional)
Cl  0.000  0.500  0.000  0.01
Cl  0.500  0.000  0.000  0.01
Be  0.000  0.000  0.000  0.00
P  0.000  0.000  0.500  -0.24
W  0.500  0.500  0.500  2.62

Values from the calculation:
- DFT total energy: -19.484 eV/atom

=====

The density of states at the Fermi level results, record by record, are as follows: 0.57; 0.54; 0.58; 0.39; 0.61; 0.32 states/eV/atom.
The E_form (uncorrected) results, record by record, are as follows: 0.714; 0.380; 0.529; -1.039; 0.957; 0.595 eV per atom.